# 1
## NaSrSmMnO6 (PBE with a Hubbard U)

Data for NaSrSmMnO6 after structural relaxation.

Computed properties:
The crystal system is cubic. The value obtained for the total energy is -6.409 eV per atom.

abc: 8.319 8.319 8.319
angles: 90.00 90.00 90.00
Space group F-43m (No. 216)
Inequivalent atoms, fractional coordinates:
Na 0.000 0.000 0.000
Sr 0.000 0.000 0.500
Sm 0.250 0.250 0.250
Mn 0.250 0.250 0.750
O 0.023 0.250 0.750

# 2
## NaSmMnWO6 (PBE with a Hubbard U)

Data for NaSmMnWO6 after structural relaxation.

Computed properties:
The crystal system is cubic. The value obtained for the total energy is -7.218 eV per atom.

abc: 8.023 8.023 8.023
angles: 90.00 90.00 90.00
Space group F-43m (No. 216)
Inequivalent atoms, fractional coordinates:
Na 0.000 0.000 0.000
Sm 0.000 0.000 0.500
Mn 0.250 0.250 0.250
W 0.250 0.250 0.750
O 0.009 0.250 0.750

# 3
## Na2Mn2SnO6 (PBE with a Hubbard U)

Data for Na2Mn2SnO6 after structural relaxation.

Computed properties:
The crystal system is monoclinic. The value obtained for the total energy is -6.116 eV per atom.

abc: 5.267 9.148 5.860
angles: 90.00 108.69 90.00
Space group C2/m (No. 12)
Inequivalent atoms, fractional coordinates:
Na 0.000 0.172 0.000
Mn 0.000 0.334 0.500
Sn 0.000 0.000 0.500
O 0.225 0.500 0.690
O 0.233 0.175 0.691

Taking the records one at a time from the top gives calculated volume values of 14.40; 12.91; 12.16 A^3/atom.
Taking the records one at a time from the top gives calculated density values of 4.8; 6.5; 4.6 g cm⁻³.